*i*
First-principles (PBE-GGA) data for a geometry-optimized NbTlS4 structure, as listed in Alexandria via LeMat-Bulk.

Lattice parameters (Å, degrees): 7.778 13.830 6.575 90.00 92.08 90.00
Space group C2/c (No. 15)
Asymmetric unit:
Nb1 0.000 0.055 0.250
Tl1 0.000 0.368 0.750
S1 0.087 0.213 0.136
S2 0.213 0.007 0.979

=====

*ii*
First-principles (PBE-GGA) data for a geometry-optimized NbTlS4 structure, as listed in Alexandria via LeMat-Bulk.

Lattice parameters (Å, degrees): 14.229 7.532 6.681 90.00 99.38 90.00
Space group C2/m (No. 12)
Asymmetric unit:
Nb1 0.076 0.000 0.239
Tl1 0.165 0.500 0.201
S1 0.000 0.222 0.000
S2 0.073 0.231 0.503
S3 0.230 0.000 0.234

=====

Most favorable structure: *i*. The second most favorable one is 70 meV/atom above it.

=====

*i*
First-principles (PBE-GGA) data for a geometry-optimized UNb2S5 structure, as listed in Alexandria via LeMat-Bulk.

**N(E_F)**: 1.169 states/eV per atom

Lattice parameters (Å, degrees): 5.033 11.670 11.932 90.00 90.00 90.00
Space group Cmcm (No. 63)
Asymmetric unit:
U1 0.000 0.217 0.250
Nb1 0.000 0.169 0.547
S1 0.000 0.043 0.118
S2 0.000 0.234 0.750
S3 0.000 0.349 0.064

=====

*ii*
First-principles (PBE-GGA) data for a geometry-optimized UNb2S5 structure, as listed in Alexandria via LeMat-Bulk.

**N(E_F)**: 0.858 states/eV per atom

Lattice parameters (Å, degrees): 5.547 12.208 6.592 90.00 94.63 90.00
Space group C2/m (No. 12)
Asymmetric unit:
U1 0.000 0.000 0.000
Nb1 0.000 0.294 0.000
S1 0.000 0.500 0.000
S2 0.176 0.169 0.244

=====

Most favorable structure: *i*. The second most favorable one is 82 meV/atom above it.

=====

*i*
First-principles (PBE-GGA) data for a geometry-optimized Nb2VS4 structure, as listed in Alexandria via LeMat-Bulk.

**N(E_F)**: 1.201 states/eV per atom

Lattice parameters (Å, degrees): 4.539 4.539 12.389 90.00 90.00 90.00
Space group I4/mmm (No. 139)
Asymmetric unit:
Nb1 0.000 0.000 0.112
V1 0.000 0.000 0.500
S1 0.000 0.000 0.307
S2 0.000 0.500 0.000

=====

*ii*
First-principles (PBE-GGA) data for a geometry-optimized Nb2VS4 structure, as listed in Alexandria via LeMat-Bulk.

**N(E_F)**: 0.580 states/eV per atom

Lattice parameters (Å, degrees): 6.409 6.193 6.558 90.00 106.02 90.00
Space group P2_1/m (No. 11)
Asymmetric unit:
Nb1 0.205 0.250 0.080
Nb2 0.213 0.250 0.520
V1 0.267 0.750 0.298
S1 0.013 0.004 0.753
S2 0.478 0.250 0.877
S3 0.478 0.750 0.626

=====

Most favorable structure: *ii*. The second most favorable one is 457 meV/atom above it.